Record 1
{
  "formula": "IrPd3O",
  "functional": "PBE",
  "state": "optimized geometry",
  "lattice": [[-2.860, -3.190, -2.190], [0.249, -2.869, 3.854], [-3.861, 2.177, 1.871]],
  "species": ["Pd", "Pd", "Pd", "O", "Ir"],
  "frac_coords": [[0.500, 0.000, 0.000], [0.000, 0.500, 0.000], [0.000, 0.000, 0.500], [0.500, 0.500, 0.500], [0.000, 0.000, 0.000]],
  "formation_energy_uncorrected_ev_per_atom": 1.644,
  "magnetic_moment_mub_per_atom": 0.00
}


Record 2
{
  "formula": "VCu7Pd12",
  "functional": "PBE",
  "state": "optimized geometry",
  "lattice": [[-5.480, 1.430, 3.950], [-0.049, -6.871, -0.689], [5.470, 1.347, 3.993]],
  "species": ["Cu", "Cu", "Cu", "Cu", "Cu", "Cu", "Cu", "Pd", "Pd", "Pd", "Pd", "Pd", "Pd", "Pd", "Pd", "Pd", "Pd", "Pd", "Pd", "V"],
  "frac_coords": [[0.683, 0.049, 0.119], [0.049, 0.119, 0.683], [0.119, 0.683, 0.049], [0.951, 0.881, 0.317], [0.500, 0.500, 0.500], [0.881, 0.317, 0.951], [0.317, 0.951, 0.881], [0.450, 0.229, 0.723], [0.929, 0.711, 0.647], [0.550, 0.771, 0.277], [0.353, 0.071, 0.289], [0.277, 0.550, 0.771], [0.071, 0.289, 0.353], [0.289, 0.353, 0.071], [0.711, 0.647, 0.929], [0.229, 0.723, 0.450], [0.647, 0.929, 0.711], [0.723, 0.450, 0.229], [0.771, 0.277, 0.550], [0.000, 0.000, 0.000]],
  "e_form_ev_per_fu": -1.241,
  "magnetic_moment_mub_per_atom": 0.00
}


Record 3
{
  "formula": "Ga2CoNi",
  "functional": "PBE",
  "state": "optimized geometry",
  "lattice": [[6.433, 0.000, 0.000], [0.000, 6.433, 0.000], [3.216, 3.216, 2.667]],
  "species": ["Co", "Co", "Ga", "Ga", "Ga", "Ga", "Ni", "Ni"],
  "frac_coords": [[0.500, 0.500, 0.000], [0.250, 0.750, 0.500], [0.625, 0.125, 0.250], [0.125, 0.625, 0.250], [0.875, 0.875, 0.750], [0.375, 0.375, 0.750], [0.750, 0.250, 0.500], [0.000, 0.000, 0.000]],
  "e_form_ev_per_fu": 0.380,
  "magnetic_moment_mub_per_atom": 0.00
}


Record 4
{
  "formula": "BaZr3Tc",
  "functional": "PBE",
  "state": "optimized geometry",
  "lattice": [[-0.498, 2.159, 4.726], [-5.196, -0.197, -0.458], [-0.011, -4.748, 2.168]],
  "species": ["Zr", "Zr", "Zr", "Tc", "Ba"],
  "frac_coords": [[0.500, 0.000, 0.000], [0.000, 0.000, 0.500], [0.000, 0.500, 0.000], [0.000, 0.000, 0.000], [0.500, 0.500, 0.500]],
  "e_form_ev_per_fu": 1.787,
  "magnetic_moment_mub_per_atom": 0.00
}


Record 5
{
  "formula": "Ho2TmAg3Te6",
  "functional": "PBE",
  "state": "optimized geometry",
  "lattice": [[4.356, 0.000, 0.000], [0.000, 8.438, 0.219], [-2.178, -2.568, 9.574]],
  "species": ["Ho", "Ho", "Tm", "Te", "Te", "Te", "Te", "Te", "Te", "Ag", "Ag", "Ag"],
  "frac_coords": [[0.826, 0.694, 0.653], [0.174, 0.306, 0.347], [0.500, 0.000, 0.000], [0.336, 0.435, 0.671], [0.342, 0.962, 0.684], [0.658, 0.038, 0.316], [0.014, 0.259, 0.029], [0.986, 0.741, 0.971], [0.664, 0.565, 0.329], [0.797, 0.214, 0.593], [0.500, 0.500, 0.000], [0.203, 0.786, 0.407]],
  "formation_energy_uncorrected_ev_per_atom": -0.828,
  "magnetic_moment_mub_per_atom": 0.00
}


Record 6
{
  "formula": "BiOsRuPb2",
  "functional": "PBE",
  "state": "optimized geometry",
  "lattice": [[-0.140, -4.754, 3.445], [4.825, 0.708, 1.174], [-1.599, 3.347, 4.553]],
  "species": ["Os", "Pb", "Pb", "Bi", "Ru"],
  "frac_coords": [[0.000, 0.500, 0.000], [0.500, 0.000, 0.000], [0.000, 0.000, 0.500], [0.000, 0.000, 0.000], [0.500, 0.500, 0.500]],
  "e_form_ev_per_fu": 10.958,
  "magnetic_moment_mub_per_atom": 0.76
}


Record 7
{
  "formula": "La4ZnNi2",
  "functional": "PBE",
  "state": "optimized geometry",
  "lattice": [[4.964, 0.000, 0.000], [2.482, 4.299, 0.000], [2.482, 1.433, 8.757]],
  "species": ["Ni", "Ni", "La", "La", "La", "La", "Zn"],
  "frac_coords": [[0.095, 0.095, 0.715], [0.905, 0.905, 0.285], [0.792, 0.792, 0.625], [0.208, 0.208, 0.375], [0.617, 0.617, 0.149], [0.383, 0.383, 0.851], [0.000, 0.000, 0.000]],
  "e_form_ev_per_fu": -1.293,
  "magnetic_moment_mub_per_atom": 0.00
}


Record 8
{
  "formula": "Sc2SnSe",
  "functional": "PBE",
  "state": "optimized geometry",
  "lattice": [[-1.672, -3.316, -1.264], [2.340, -0.060, 3.148], [-6.433, 2.336, 2.382]],
  "species": ["Sn", "Se", "Sc", "Sc"],
  "frac_coords": [[0.500, 0.500, 0.000], [0.000, 0.500, 0.500], [0.256, 0.011, 0.266], [0.744, 0.989, 0.734]],
  "formation_energy_uncorrected_ev_per_atom": -1.069,
  "magnetic_moment_mub_per_atom": 0.00
}